# Dy4Y3PuSe8

A relaxed structure of Dy4Y3PuSe8 (PBE, Alexandria via LeMat-Bulk).

Computed properties:
Raw total energy, Ry/atom: -0.495
Crystal system: trigonal

Structure (CIF):
```
data_Dy4Y3PuSe8
_cell_length_a 8.174
_cell_length_b 8.174
_cell_length_c 8.174
_cell_angle_alpha 60.01
_cell_angle_beta 60.01
_cell_angle_gamma 60.01
_space_group_name_H-M_alt 'P 1'
_space_group_IT_number 1
loop_
_space_group_symop_operation_xyz
'x,y,z'
loop_
_atom_site_label
_atom_site_type_symbol
_atom_site_fract_x
_atom_site_fract_y
_atom_site_fract_z
Dy1 Dy 0.000 0.000 0.000
Dy2 Dy 0.000 0.500 0.500
Dy3 Dy 0.500 0.000 0.500
Dy4 Dy 0.500 0.500 0.000
Y1 Y 0.000 0.000 0.500
Y2 Y 0.000 0.500 0.000
Y3 Y 0.500 0.000 0.000
Pu1 Pu 0.500 0.500 0.500
Se1 Se 0.248 0.248 0.751
Se2 Se 0.248 0.751 0.248
Se3 Se 0.249 0.752 0.752
Se4 Se 0.250 0.250 0.250
Se5 Se 0.750 0.750 0.750
Se6 Se 0.751 0.248 0.248
Se7 Se 0.752 0.249 0.752
Se8 Se 0.752 0.752 0.249
```

---

# UAl4Ga

A relaxed structure of UAl4Ga (PBE, Alexandria via LeMat-Bulk).

Computed properties:
ΔH_f (0 K), eV per atom: 0.06
E above lowest polymorph, eV/atom: 0.0669
Raw total energy, Ry/atom: -0.354
Crystal system: cubic

Structure (CIF):
```
data_UAl4Ga
_cell_length_a 5.448
_cell_length_b 5.448
_cell_length_c 5.448
_cell_angle_alpha 60.00
_cell_angle_beta 60.00
_cell_angle_gamma 60.00
_space_group_name_H-M_alt 'P 1'
_space_group_IT_number 1
loop_
_space_group_symop_operation_xyz
'x,y,z'
loop_
_atom_site_label
_atom_site_type_symbol
_atom_site_fract_x
_atom_site_fract_y
_atom_site_fract_z
U1 U 0.000 0.000 0.000
Al1 Al 0.375 0.375 0.375
Al2 Al 0.375 0.375 0.875
Al3 Al 0.375 0.875 0.375
Al4 Al 0.875 0.375 0.375
Ga1 Ga 0.750 0.750 0.750
```

---

# Ac2CeSmP4

A relaxed structure of Ac2CeSmP4 (PBE, Alexandria via LeMat-Bulk).

Computed properties:
ΔH_f (0 K), eV per atom: -1.48
Raw total energy, Ry/atom: -0.481
Crystal system: monoclinic

Structure (CIF):
```
data_Ac2CeSmP4
_cell_length_a 7.382
_cell_length_b 4.269
_cell_length_c 7.419
_cell_angle_alpha 90.00
_cell_angle_beta 109.34
_cell_angle_gamma 90.00
_space_group_name_H-M_alt 'P 1'
_space_group_IT_number 1
loop_
_space_group_symop_operation_xyz
'x,y,z'
loop_
_atom_site_label
_atom_site_type_symbol
_atom_site_fract_x
_atom_site_fract_y
_atom_site_fract_z
Ac1 Ac 0.000 0.000 0.000
Ac2 Ac 0.500 0.500 0.000
Ce1 Ce 0.000 0.500 0.500
Sm1 Sm 0.500 0.000 0.500
P1 P 0.241 0.000 0.729
P2 P 0.254 0.500 0.270
P3 P 0.746 0.500 0.730
P4 P 0.759 0.000 0.271
```